(1)
Below is a relaxed CaCePaO6 crystal, with properties calculated at the PBE level.

uncorrected formation energy = -3.05 eV/atom
density of states at the Fermi level = 7.8 states/eV/f.u.

Cell: 4.727 5.817 5.817 Å, 120.00 90.00 90.00°
Positions (direct):
1 O 0.746 0.025 0.345
2 O 0.254 0.320 0.345
3 O 0.746 0.655 0.680
4 O 0.254 0.025 0.680
5 O 0.746 0.320 0.975
6 O 0.254 0.655 0.975
7 Pa 0.000 0.333 0.667
8 Ca 0.500 0.667 0.333
9 Ce 0.500 0.000 0.000



(2)
Below is a relaxed Ca2Ce4Pb3O2 crystal, with properties calculated at the PBE level.

uncorrected formation energy = -1.29 eV/atom
density of states at the Fermi level = 21.8 states/eV/f.u.

Cell: 4.820 4.820 13.450 Å, 100.32 100.32 90.00°
Positions (direct):
1 O 0.600 0.600 0.200
2 O 0.400 0.400 0.800
3 Ca 0.302 0.302 0.604
4 Ca 0.698 0.698 0.396
5 Pb 0.000 0.000 0.000
6 Pb 0.176 0.176 0.352
7 Pb 0.824 0.824 0.648
8 Ce 0.587 0.087 0.174
9 Ce 0.913 0.413 0.826
10 Ce 0.087 0.587 0.174
11 Ce 0.413 0.913 0.826



(3)
Below is a relaxed CaCePb2O8 crystal, with properties calculated at the PBE level.

uncorrected formation energy = -1.58 eV/atom
density of states at the Fermi level = 2.6 states/eV/f.u.

Cell: 5.634 5.634 6.630 Å, 115.14 115.14 90.00°
Positions (direct):
1 O 0.379 0.346 0.195
2 O 0.654 0.184 0.805
3 O 0.151 0.621 0.805
4 O 0.100 0.060 0.706
5 O 0.607 0.647 0.706
6 O 0.940 0.393 0.294
7 O 0.353 0.900 0.294
8 O 0.816 0.849 0.195
9 Ca 0.750 0.250 0.500
10 Ce 0.000 0.000 0.000
11 Pb 0.250 0.750 0.500
12 Pb 0.500 0.500 0.000



(4)
Below is a relaxed CaCePdO4 crystal, with properties calculated at the PBE level.

uncorrected formation energy = -2.34 eV/atom

Cell: 6.361 6.858 6.986 Å, 120.62 90.00 117.63°
Positions (direct):
1 Ce 0.500 0.000 0.000
2 Ce 0.500 0.000 0.500
3 O 0.227 0.868 0.184
4 O 0.271 0.541 0.334
5 O 0.271 0.541 0.707
6 O 0.729 0.459 0.666
7 O 0.359 0.132 0.816
8 O 0.773 0.132 0.816
9 O 0.729 0.459 0.293
10 O 0.641 0.868 0.184
11 Pd 0.500 0.500 0.500
12 Pd 0.000 0.500 0.500
13 Ca 0.812 0.624 0.062
14 Ca 0.188 0.376 0.938



(5)
Below is a relaxed Ca2CePtO6 crystal, with properties calculated at the PBE level.

uncorrected formation energy = -2.39 eV/atom

Cell: 5.672 5.867 8.124 Å, 90.00 91.00 90.00°
Positions (direct):
1 O 0.385 0.952 0.736
2 O 0.615 0.048 0.264
3 O 0.885 0.548 0.236
4 O 0.184 0.211 0.059
5 O 0.684 0.289 0.559
6 O 0.789 0.808 0.560
7 O 0.816 0.789 0.941
8 O 0.115 0.452 0.764
9 O 0.211 0.192 0.440
10 O 0.316 0.711 0.441
11 O 0.289 0.692 0.060
12 O 0.711 0.308 0.940
13 Ce 0.500 0.000 0.000
14 Ce 0.000 0.500 0.500
15 Ca 0.518 0.556 0.748
16 Ca 0.982 0.056 0.752
17 Ca 0.482 0.444 0.252
18 Ca 0.018 0.944 0.248
19 Pt 0.000 0.500 0.000
20 Pt 0.500 0.000 0.500



(6)
Below is a relaxed Rb4CaCe3O8 crystal, with properties calculated at the PBE level.

uncorrected formation energy = -2.56 eV/atom
density of states at the Fermi level = 9.0 states/eV/f.u.

Cell: 7.271 7.786 7.271 Å, 117.85 120.00 90.00°
Positions (direct):
1 O 0.286 0.323 0.055
2 O 0.769 0.323 0.537
3 O 0.231 0.677 0.945
4 O 0.714 0.677 0.945
5 O 0.273 0.319 0.546
6 O 0.231 0.677 0.463
7 O 0.727 0.681 0.454
8 O 0.769 0.323 0.055
9 Rb 0.500 0.000 0.000
10 Rb 0.000 0.000 0.000
11 Rb 0.000 0.000 0.500
12 Rb 0.500 0.000 0.500
13 Ca 0.000 0.500 0.000
14 Ce 0.500 0.500 0.500
15 Ce 0.500 0.500 0.000
16 Ce 0.000 0.500 0.500



(7)
Below is a relaxed CaCeReO6 crystal, with properties calculated at the PBE level.

uncorrected formation energy = -2.49 eV/atom
density of states at the Fermi level = 5.6 states/eV/f.u.

Cell: 5.617 5.617 9.595 Å, 90.00 90.00 120.00°
Positions (direct):
1 O 0.046 0.665 0.861
2 O 0.665 0.046 0.361
3 O 0.335 0.381 0.861
4 O 0.619 0.665 0.639
5 O 0.046 0.381 0.639
6 O 0.619 0.954 0.861
7 O 0.381 0.046 0.139
8 O 0.335 0.954 0.639
9 O 0.954 0.335 0.139
10 O 0.665 0.619 0.139
11 O 0.381 0.335 0.361
12 O 0.954 0.619 0.361
13 Ca 0.000 0.000 0.500
14 Ca 0.000 0.000 0.000
15 Ce 0.667 0.333 0.750
16 Ce 0.333 0.667 0.250
17 Re 0.667 0.333 0.250
18 Re 0.333 0.667 0.750



(8)
Below is a relaxed Ca2CeRuO6 crystal, with properties calculated at the PBE level.

uncorrected formation energy = -2.48 eV/atom
density of states at the Fermi level = 5.1 states/eV/f.u.

Cell: 5.646 5.851 8.117 Å, 90.00 91.06 90.00°
Positions (direct):
1 Ru 0.500 0.000 0.500
2 Ru 0.000 0.500 0.000
3 O 0.318 0.714 0.438
4 O 0.213 0.190 0.441
5 O 0.287 0.690 0.059
6 O 0.387 0.956 0.734
7 O 0.887 0.544 0.234
8 O 0.182 0.214 0.062
9 O 0.787 0.810 0.559
10 O 0.613 0.044 0.266
11 O 0.113 0.456 0.766
12 O 0.682 0.286 0.562
13 O 0.818 0.786 0.938
14 O 0.713 0.310 0.941
15 Ce 0.500 0.000 0.000
16 Ce 0.000 0.500 0.500
17 Ca 0.481 0.443 0.251
18 Ca 0.519 0.557 0.749
19 Ca 0.981 0.057 0.751
20 Ca 0.019 0.943 0.249



(9)
Below is a relaxed CaCeSb2O8 crystal, with properties calculated at the PBE level.

uncorrected formation energy = -2.15 eV/atom

Cell: 5.319 5.319 6.779 Å, 113.10 113.10 90.00°
Positions (direct):
1 O 0.335 0.908 0.317
2 O 0.662 0.226 0.826
3 O 0.591 0.665 0.683
4 O 0.092 0.019 0.683
5 O 0.400 0.338 0.174
6 O 0.164 0.600 0.826
7 O 0.981 0.409 0.317
8 O 0.774 0.836 0.174
9 Sb 0.500 0.500 0.000
10 Sb 0.250 0.750 0.500
11 Ce 0.000 0.000 0.000
12 Ca 0.750 0.250 0.500



(10)
Below is a relaxed CaCeSbO crystal, with properties calculated at the PBE level.

uncorrected formation energy = -2.02 eV/atom
density of states at the Fermi level = 5.3 states/eV/f.u.

Cell: 4.563 4.563 9.100 Å, 90.00 90.00 90.00°
Positions (direct):
1 O 0.000 0.500 0.417
2 O 0.500 0.000 0.583
3 Ca 0.000 0.000 0.500
4 Ca 0.500 0.500 0.500
5 Ce 0.500 0.000 0.828
6 Ce 0.000 0.500 0.172
7 Sb 0.500 0.000 0.195
8 Sb 0.000 0.500 0.805



(11)
Below is a relaxed CaCeSbO6 crystal, with properties calculated at the PBE level.

uncorrected formation energy = -2.22 eV/atom
density of states at the Fermi level = 5.2 states/eV/f.u.

Cell: 5.746 5.746 9.401 Å, 90.00 90.00 120.00°
Positions (direct):
1 Sb 0.333 0.667 0.750
2 Sb 0.667 0.333 0.250
3 O 0.035 0.372 0.636
4 O 0.663 0.628 0.136
5 O 0.035 0.663 0.864
6 O 0.337 0.965 0.636
7 O 0.628 0.965 0.864
8 O 0.965 0.628 0.364
9 O 0.337 0.372 0.864
10 O 0.372 0.337 0.364
11 O 0.628 0.663 0.636
12 O 0.663 0.035 0.364
13 O 0.372 0.035 0.136
14 O 0.965 0.337 0.136
15 Ce 0.667 0.333 0.750
16 Ce 0.333 0.667 0.250
17 Ca 0.000 0.000 0.000
18 Ca 0.000 0.000 0.500



(12)
Below is a relaxed CaCeSc4O8 crystal, with properties calculated at the PBE level.

uncorrected formation energy = -3.23 eV/atom
density of states at the Fermi level = 7.6 states/eV/f.u.

Cell: 6.469 6.469 6.609 Å, 60.70 60.70 60.00°
Positions (direct):
1 O 0.245 0.796 0.713
2 O 0.755 0.755 0.735
3 O 0.236 0.236 0.293
4 O 0.796 0.245 0.713
5 O 0.742 0.742 0.276
6 O 0.742 0.239 0.276
7 O 0.239 0.742 0.276
8 O 0.245 0.245 0.713
9 Sc 0.002 0.002 0.500
10 Sc 0.495 0.002 0.500
11 Sc 0.622 0.622 0.133
12 Sc 0.002 0.495 0.500
13 Ce 0.999 0.999 0.002
14 Ca 0.377 0.377 0.869



(13)
Below is a relaxed CaCeSe2O8 crystal, with properties calculated at the PBE level.

uncorrected formation energy = -1.58 eV/atom
density of states at the Fermi level = 5.8 states/eV/f.u.

Cell: 5.895 5.895 6.921 Å, 90.00 90.00 120.00°
Positions (direct):
1 O 0.839 0.677 0.272
2 O 0.667 0.333 0.964
3 O 0.839 0.161 0.272
4 O 0.333 0.667 0.036
5 O 0.161 0.839 0.728
6 O 0.323 0.161 0.272
7 O 0.677 0.839 0.728
8 O 0.161 0.323 0.728
9 Ca 0.000 0.000 0.000
10 Se 0.333 0.667 0.798
11 Se 0.667 0.333 0.202
12 Ce 0.000 0.000 0.500



(14)
Below is a relaxed Ca2CeTaO6 crystal, with properties calculated at the PBE level.

uncorrected formation energy = -2.97 eV/atom
density of states at the Fermi level = 4.7 states/eV/f.u.

Cell: 5.102 5.670 5.670 Å, 90.00 90.00 90.00°
Positions (direct):
1 O 0.732 0.232 0.232
2 O 0.732 0.232 0.768
3 O 0.147 0.500 0.500
4 O 0.732 0.768 0.232
5 O 0.242 0.000 0.000
6 O 0.732 0.768 0.768
7 Ta 0.605 0.000 0.000
8 Ca 0.981 0.000 0.500
9 Ca 0.981 0.500 0.000
10 Ce 0.562 0.500 0.500



(15)
Below is a relaxed CaCeTaO6 crystal, with properties calculated at the PBE level.

uncorrected formation energy = -2.83 eV/atom
density of states at the Fermi level = 5.3 states/eV/f.u.

Cell: 5.095 5.095 10.224 Å, 90.00 90.00 90.00°
Positions (direct):
1 O 0.222 0.778 0.824
2 O 0.320 0.320 0.983
3 O 0.680 0.680 0.983
4 O 0.778 0.222 0.824
5 O 0.180 0.820 0.483
6 O 0.722 0.722 0.324
7 O 0.278 0.278 0.324
8 O 0.809 0.191 0.190
9 O 0.191 0.809 0.190
10 O 0.820 0.180 0.483
11 O 0.309 0.309 0.690
12 O 0.691 0.691 0.690
13 Ce 0.000 0.000 0.666
14 Ce 0.500 0.500 0.166
15 Ca 0.500 0.500 0.502
16 Ca 0.000 0.000 0.002
17 Ta 0.500 0.500 0.837
18 Ta 0.000 0.000 0.337



(16)
Below is a relaxed Ca2CeTcO6 crystal, with properties calculated at the PBE level.

uncorrected formation energy = -2.63 eV/atom

Cell: 5.657 5.876 8.148 Å, 90.00 90.70 90.00°
Positions (direct):
1 Ca 0.483 0.445 0.249
2 Ca 0.517 0.555 0.751
3 Ca 0.017 0.945 0.251
4 Ca 0.983 0.055 0.749
5 O 0.385 0.951 0.735
6 O 0.789 0.812 0.559
7 O 0.289 0.688 0.059
8 O 0.711 0.312 0.941
9 O 0.615 0.049 0.265
10 O 0.182 0.212 0.064
11 O 0.818 0.788 0.936
12 O 0.885 0.549 0.235
13 O 0.115 0.451 0.765
14 O 0.318 0.712 0.436
15 O 0.211 0.188 0.441
16 O 0.682 0.288 0.564
17 Tc 0.000 0.500 0.000
18 Tc 0.500 0.000 0.500
19 Ce 0.000 0.500 0.500
20 Ce 0.500 0.000 0.000



(17)
Below is a relaxed CaCeTeO5 crystal, with properties calculated at the PBE level.

uncorrected formation energy = -2.34 eV/atom

Cell: 6.202 6.202 8.611 Å, 110.01 110.01 93.45°
Positions (direct):
1 O 0.350 0.287 0.148
2 O 0.956 0.044 0.750
3 O 0.713 0.650 0.352
4 O 0.215 0.716 0.972
5 O 0.716 0.215 0.472
6 O 0.284 0.785 0.528
7 O 0.044 0.956 0.250
8 O 0.287 0.350 0.648
9 O 0.650 0.713 0.852
10 O 0.785 0.284 0.028
11 Ca 0.314 0.686 0.250
12 Ca 0.686 0.314 0.750
13 Te 0.317 0.683 0.750
14 Te 0.683 0.317 0.250
15 Ce 0.000 0.000 0.000
16 Ce 0.000 0.000 0.500



(18)
Below is a relaxed CaCe2TeO8 crystal, with properties calculated at the PBE level.

uncorrected formation energy = -2.54 eV/atom
density of states at the Fermi level = 0.0 states/eV/f.u.

Cell: 5.042 5.042 7.027 Å, 90.00 90.00 90.40°
Positions (direct):
1 O 0.816 0.185 0.794
2 O 0.816 0.185 0.206
3 O 0.720 0.721 0.000
4 O 0.280 0.279 0.000
5 O 0.184 0.815 0.794
6 O 0.184 0.815 0.206
7 O 0.680 0.681 0.500
8 O 0.320 0.319 0.500
9 Te 0.000 0.000 0.000
10 Ce 0.500 0.500 0.250
11 Ce 0.500 0.500 0.750
12 Ca 0.000 0.000 0.500



(19)
Below is a relaxed CaCeTe2O8 crystal, with properties calculated at the PBE level.

uncorrected formation energy = -1.82 eV/atom

Cell: 6.312 6.312 6.312 Å, 108.00 108.00 112.45°
Positions (direct):
1 O 0.928 0.244 0.316
2 O 0.306 0.505 0.199
3 O 0.306 0.107 0.801
4 O 0.893 0.694 0.199
5 O 0.495 0.694 0.801
6 O 0.756 0.072 0.684
7 O 0.928 0.612 0.684
8 O 0.388 0.072 0.316
9 Ca 0.000 0.000 0.000
10 Te 0.750 0.250 0.500
11 Te 0.500 0.500 0.000
12 Ce 0.250 0.750 0.500